Entry 1:
Ba2LaSc | PBE | relaxed

extended XYZ file:
```
4
Lattice="4.155 0.000 0.000 0.000 4.149 0.010 0.000 4.117 10.366" Properties=species:S:1:pos:R:3 pbc="T T T"
Ba 0.000 4.120 9.806
Ba 2.078 2.063 2.891
La 0.000 4.131 5.755
Sc 2.078 6.202 7.478
```

Computed properties:
The crystal system is tetragonal. The formation energy is 0.167 eV/atom.

Entry 2:
BaRe2Mo | PBE | relaxed

extended XYZ file:
```
4
Lattice="2.888 0.020 0.000 -1.039 2.695 0.000 0.000 0.000 9.964" Properties=species:S:1:pos:R:3 pbc="T T T"
Ba 0.925 1.357 2.491
Mo 0.925 1.357 7.473
Re 0.000 0.000 9.513
Re 0.000 0.000 5.433
```

Computed properties:
The crystal system is orthorhombic. The formation energy is 0.929 eV/atom.

Entry 3:
LiZr2W | PBE | relaxed

extended XYZ file:
```
4
Lattice="4.436 0.000 0.000 0.000 2.843 0.077 0.000 1.534 6.290" Properties=species:S:1:pos:R:3 pbc="T T T"
Li 2.218 1.094 1.592
W 2.218 3.282 4.775
Zr 0.000 4.175 6.251
Zr 0.000 2.389 3.300
```

Computed properties:
The crystal system is monoclinic. The formation energy is 0.292 eV/atom.